Entry 1:
! Dy2YEr4Fe2Te2 | the Open Quantum Materials Database | PBE | relaxed; values from VASP
! Energy, eV/f.u.: -62.28
! Calculated volume, Å³/atom: 25.6
&SYSTEM
  ibrav = 0, nat = 11, ntyp = 5
/
ATOMIC_SPECIES
Dy 162.50 Dy.upf
Y 88.91 Y.upf
Er 167.26 Er.upf
Fe 55.84 Fe.upf
Te 127.60 Te.upf
CELL_PARAMETERS angstrom
-1.926 7.825 4.663
1.926 -7.825 4.663
1.926 7.825 -4.663
ATOMIC_POSITIONS angstrom
Dy 0.000 2.120 0.000
Dy 0.000 13.529 0.000
Y 0.000 0.000 5.430
Er 1.926 -2.353 3.254
Er 1.926 2.353 3.254
Er 0.000 4.898 1.932
Er 0.000 10.752 1.932
Fe 1.926 4.119 0.118
Fe 0.000 3.706 4.781
Te 0.000 0.000 2.312
Te 0.000 7.825 3.233

---

Entry 2:
! RbScRe | the Open Quantum Materials Database | PBE | relaxed; values from VASP
! Energy, eV/f.u.: -14.16
! Calculated volume, Å³/atom: 27.5
&SYSTEM
  ibrav = 0, nat = 3, ntyp = 3
/
ATOMIC_SPECIES
Rb 85.47 Rb.upf
Sc 44.96 Sc.upf
Re 186.21 Re.upf
CELL_PARAMETERS angstrom
0.000 3.456 3.456
3.456 0.000 3.456
3.456 3.456 0.000
ATOMIC_POSITIONS angstrom
Rb 0.000 0.000 0.000
Sc 3.456 3.456 3.456
Re 1.728 1.728 1.728

---

Entry 3:
! Lu2NbNi | the Open Quantum Materials Database | PBE | relaxed; values from VASP
! Formation energy, eV per atom: 0.3228
! Calculated volume, Å³/atom: 19.6
&SYSTEM
  ibrav = 0, nat = 4, ntyp = 3
/
ATOMIC_SPECIES
Lu 174.97 Lu.upf
Nb 92.91 Nb.upf
Ni 58.69 Ni.upf
CELL_PARAMETERS angstrom
0.000 3.397 3.397
3.397 0.000 3.397
3.397 3.397 0.000
ATOMIC_POSITIONS angstrom
Lu 0.000 0.000 0.000
Lu 1.699 1.699 1.699
Nb 3.397 3.397 3.397
Ni 5.096 5.096 5.096

---

Entry 4:
! Hf2Nb2Hg | the Open Quantum Materials Database | PBE | relaxed; values from VASP
! Formation energy, eV per atom: 0.6063
! Calculated volume, Å³/atom: 20.9
&SYSTEM
  ibrav = 0, nat = 5, ntyp = 3
/
ATOMIC_SPECIES
Hf 178.49 Hf.upf
Nb 92.91 Nb.upf
Hg 200.59 Hg.upf
CELL_PARAMETERS angstrom
-1.979 1.979 6.670
1.979 -1.979 6.670
1.979 1.979 -6.670
ATOMIC_POSITIONS angstrom
Hf 0.000 0.000 1.290
Hf 0.000 0.000 12.049
Nb 1.979 0.000 3.335
Nb 0.000 1.979 3.335
Hg 0.000 0.000 6.670

---

Entry 5:
! NiPdPtPb | the Open Quantum Materials Database | PBE | relaxed; values from VASP
! Energy, eV/f.u.: -20.54
! Calculated volume, Å³/atom: 16.3
&SYSTEM
  ibrav = 0, nat = 4, ntyp = 4
/
ATOMIC_SPECIES
Ni 58.69 Ni.upf
Pd 106.42 Pd.upf
Pt 195.08 Pt.upf
Pb 207.20 Pb.upf
CELL_PARAMETERS angstrom
0.000 3.197 3.197
3.197 0.000 3.197
3.197 3.197 0.000
ATOMIC_POSITIONS angstrom
Ni 0.000 0.000 0.000
Pd 3.197 3.197 3.197
Pt 1.598 1.598 1.598
Pb 4.795 4.795 4.795

---

Entry 6:
! Ni8As4Pd3 | the Open Quantum Materials Database | PBE | relaxed; values from VASP
! Energy, eV/f.u.: -83.19
! Calculated volume, Å³/atom: 12.7
&SYSTEM
  ibrav = 0, nat = 30, ntyp = 3
/
ATOMIC_SPECIES
Ni 58.69 Ni.upf
As 74.92 As.upf
Pd 106.42 Pd.upf
CELL_PARAMETERS angstrom
0.000 5.747 5.747
5.747 0.000 5.747
5.747 5.747 0.000
ATOMIC_POSITIONS angstrom
Ni 7.660 3.834 3.834
Ni 1.350 1.350 1.350
Ni 4.397 4.397 1.350
Ni 4.397 1.350 4.397
Ni 3.834 3.834 3.834
Ni 7.660 7.660 3.834
Ni 7.660 3.834 7.660
Ni 10.144 7.097 7.097
Ni 1.350 4.397 4.397
Ni 3.834 7.660 3.834
Ni 3.834 3.834 7.660
Ni 7.660 7.660 7.660
Ni 7.097 10.144 7.097
Ni 7.097 7.097 10.144
Ni 10.144 10.144 10.144
Ni 3.834 7.660 7.660
As 0.000 0.000 0.000
As 2.874 2.874 0.000
As 2.874 0.000 2.874
As 5.747 2.874 2.874
As 0.000 2.874 2.874
As 2.874 5.747 2.874
As 2.874 2.874 5.747
As 5.747 5.747 5.747
Pd 5.747 5.747 3.339
Pd 5.747 3.339 5.747
Pd 8.155 5.747 5.747
Pd 3.339 5.747 5.747
Pd 5.747 8.155 5.747
Pd 5.747 5.747 8.155